1.
Hf2Au: optimized geometry, PBE.

Energy of formation   0.830 eV/f.u.
Space-group type   Fd-3m (227)

abc: 5.5916 5.5916 5.5916
angles: 60.00 60.00 60.00
Atoms (fractional coordinates):
1 Au 0.0000 0.0000 0.0000
2 Au 0.2500 0.2500 0.2500
3 Hf 0.6250 0.6250 0.1250
4 Hf 0.6250 0.1250 0.6250
5 Hf 0.1250 0.6250 0.6250
6 Hf 0.6250 0.6250 0.6250

=====

2.
TaFeBIr: optimized geometry, PBE.

Space-group type   F-43m (216)
Energy above the most stable polymorph in this dataset   0.183 eV per atom

abc: 4.2287 4.2287 4.2287
angles: 60.00 60.00 60.00
Atoms (fractional coordinates):
1 B 0.0000 0.0000 0.0000
2 Fe 0.7500 0.7500 0.7500
3 Ir 0.5000 0.5000 0.5000
4 Ta 0.2500 0.2500 0.2500

=====

3.
Gd2ErAl3CuSi2: optimized geometry, PBE.

Space-group type   Amm2 (38)
Electronic total energy   -45.350 eV/cell

abc: 4.1838 6.9282 6.9282
angles: 119.88 90.00 90.00
Atoms (fractional coordinates):
1 Al 0.5000 0.2376 0.0010
2 Al 0.5000 0.0010 0.2376
3 Al 0.5000 0.7622 0.7622
4 Cu 0.0000 0.0043 0.0043
5 Er 0.0000 0.4057 0.4057
6 Gd 0.0000 0.9991 0.5930
7 Gd 0.0000 0.5930 0.9991
8 Si 0.5000 0.6631 0.3342
9 Si 0.5000 0.3342 0.6631

=====

4.
MgZrZnNi: optimized geometry, PBE.

Space-group type   F-43m (216)
Energy above the most stable polymorph in this dataset   0.247 eV per atom

abc: 4.4964 4.4964 4.4964
angles: 60.00 60.00 60.00
Atoms (fractional coordinates):
1 Mg 0.7500 0.7500 0.7500
2 Ni 0.5000 0.5000 0.5000
3 Zn 0.2500 0.2500 0.2500
4 Zr 0.0000 0.0000 0.0000

=====

5.
Fe2H3S: optimized geometry, PBE.

Space-group type   Cmc2_1 (36)
Electronic total energy   -60.812 eV/cell

abc: 5.0755 5.0755 5.9611
angles: 90.00 90.00 146.98
Atoms (fractional coordinates):
1 Fe 0.6368 0.3632 0.0630
2 Fe 0.9007 0.0993 0.1690
3 Fe 0.3632 0.6368 0.5630
4 Fe 0.0993 0.9007 0.6690
5 H 0.0687 0.9313 0.2030
6 H 0.4412 0.5588 0.3009
7 H 0.9926 0.0074 0.4525
8 H 0.9313 0.0687 0.7030
9 H 0.5588 0.4412 0.8009
10 H 0.0074 0.9926 0.9525
11 S 0.7094 0.2906 0.4321
12 S 0.2906 0.7094 0.9321

=====

6.
MgBeZn2: optimized geometry, PBE.

Space-group type   F-43m (216)
Energy above the most stable polymorph in this dataset   0.024 eV per atom

abc: 4.3120 4.3120 4.3120
angles: 60.00 60.00 60.00
Atoms (fractional coordinates):
1 Be 0.5000 0.5000 0.5000
2 Mg 0.2500 0.2500 0.2500
3 Zn 0.0000 0.0000 0.0000
4 Zn 0.7500 0.7500 0.7500

=====

7.
TbHfB: optimized geometry, PBE.

Space-group type   F-43m (216)
Electronic total energy   -20.908 eV/cell

abc: 4.3361 4.3361 4.3361
angles: 60.00 60.00 60.00
Atoms (fractional coordinates):
1 B 0.0000 0.0000 0.0000
2 Hf 0.2500 0.2500 0.2500
3 Tb 0.7500 0.7500 0.7500

=====

8.
Sc4Tl3W2N3: optimized geometry, PBE.

Space-group type   C2/c (15)
Electronic total energy   -183.355 eV/cell

abc: 5.6330 5.6330 14.4899
angles: 100.90 100.90 60.51
Atoms (fractional coordinates):
1 N 0.5000 0.0000 0.0000
2 N 0.1623 0.6694 0.0002
3 N 0.3306 0.8377 0.4998
4 N 0.0000 0.5000 0.5000
5 N 0.6694 0.1623 0.5002
6 N 0.8377 0.3306 0.9998
7 Sc 0.1934 0.0298 0.0846
8 Sc 0.8628 0.6944 0.0846
9 Sc 0.3056 0.1372 0.4154
10 Sc 0.9702 0.8066 0.4154
11 Sc 0.0298 0.1934 0.5846
12 Sc 0.6944 0.8628 0.5846
13 Sc 0.1372 0.3056 0.9154
14 Sc 0.8066 0.9702 0.9154
15 Tl 0.5847 0.7308 0.2496
16 Tl 0.8994 0.1006 0.2500
17 Tl 0.2692 0.4154 0.2504
18 Tl 0.7308 0.5847 0.7496
19 Tl 0.1006 0.8994 0.7500
20 Tl 0.4153 0.2692 0.7504
21 W 0.5223 0.3567 0.0694
22 W 0.6433 0.4777 0.4306
23 W 0.3567 0.5223 0.5694
24 W 0.4777 0.6433 0.9306

=====

9.
NaDyNp: optimized geometry, PBE.

Space-group type   F-43m (216)
Energy above the most stable polymorph in this dataset   0.000 eV per atom

abc: 5.2162 5.2162 5.2162
angles: 60.00 60.00 60.00
Atoms (fractional coordinates):
1 Dy 0.2500 0.2500 0.2500
2 Na 0.0000 0.0000 0.0000
3 Np 0.7500 0.7500 0.7500

=====

10.
TbIn: optimized geometry, PBE.

Space-group type   P-6m2 (187)
Electronic total energy   -7.898 eV/cell

abc: 3.5392 3.5390 5.1787
angles: 90.00 90.00 120.00
Atoms (fractional coordinates):
1 In 0.6666 0.3332 0.7500
2 Tb 0.3334 0.6668 0.2500

=====

11.
Hf2TlPb2: optimized geometry, PBE.

Space-group type   I4/mmm (139)
Energy above the most stable polymorph in this dataset   0.073 eV per atom

abc: 4.3936 4.3936 7.3835
angles: 107.31 107.31 90.00
Atoms (fractional coordinates):
1 Hf 0.5982 0.5982 0.1964
2 Hf 0.4018 0.4018 0.8036
3 Pb 0.7500 0.2500 0.5000
4 Pb 0.2500 0.7500 0.5000
5 Tl 0.0000 0.0000 0.0000

=====

12.
Hf2BPd: optimized geometry, PBE.

Space-group type   F-43m (216)
Electronic total energy   -29.530 eV/cell

abc: 4.5085 4.5085 4.5085
angles: 60.00 60.00 60.00
Atoms (fractional coordinates):
1 B 0.5000 0.5000 0.5000
2 Hf 0.0000 0.0000 0.0000
3 Hf 0.7500 0.7500 0.7500
4 Pd 0.2500 0.2500 0.2500